# TbTmSi4 (PBE-GGA, relaxed)
# VASP energy ... -132.85 eV for the cell shown
# SG ... Pbam
data_TbTmSi4
_cell_length_a 4.1893
_cell_length_b 8.7633
_cell_length_c 13.6684
_cell_angle_alpha 90.00
_cell_angle_beta 90.00
_cell_angle_gamma 90.00
_space_group_name_H-M_alt 'P 1'
_space_group_IT_number 1
loop_
_space_group_symop_operation_xyz
'x,y,z'
loop_
_atom_site_label
_atom_site_fract_x
_atom_site_fract_y
_atom_site_fract_z
Tb1 0.0000 0.5500 0.3674
Tb2 0.0000 0.4500 0.6326
Tb3 0.0000 0.0500 0.1326
Tb4 0.0000 0.9500 0.8674
Tm1 0.0000 0.6456 0.0845
Tm2 0.0000 0.3544 0.9155
Tm3 0.0000 0.1456 0.4155
Tm4 0.0000 0.8544 0.5845
Si1 0.5000 0.8146 0.1839
Si2 0.5000 0.1854 0.8161
Si3 0.5000 0.3146 0.3161
Si4 0.5000 0.6854 0.6839
Si5 0.5000 0.8607 0.0107
Si6 0.5000 0.1393 0.9893
Si7 0.5000 0.3607 0.4893
Si8 0.5000 0.6393 0.5107
Si9 0.5000 0.9009 0.4378
Si10 0.5000 0.0991 0.5622
Si11 0.5000 0.4009 0.0622
Si12 0.5000 0.5991 0.9378
Si13 0.5000 0.0392 0.2859
Si14 0.5000 0.9608 0.7141
Si15 0.5000 0.5392 0.2141
Si16 0.5000 0.4608 0.7859

---

# TbTmSi2 (PBE-GGA, relaxed)
# VASP energy ... -23.22 eV for the cell shown
# Polymorph energy (0 for the lowest one) ... 0.000 eV/f.u.
# SG ... Amm2
data_TbTmSi2
_cell_length_a 4.2582
_cell_length_b 3.8219
_cell_length_c 5.6598
_cell_angle_alpha 90.00
_cell_angle_beta 112.09
_cell_angle_gamma 90.00
_space_group_name_H-M_alt 'P 1'
_space_group_IT_number 1
loop_
_space_group_symop_operation_xyz
'x,y,z'
loop_
_atom_site_label
_atom_site_fract_x
_atom_site_fract_y
_atom_site_fract_z
Tb1 0.4422 0.5000 0.4233
Tm1 0.7226 0.0000 0.9842
Si1 0.1599 0.5000 0.8587
Si2 0.0063 0.0000 0.5518

---

# TbTm3Si4 (PBE-GGA, relaxed)
# VASP energy ... -43.94 eV for the cell shown
# SG ... Immm
data_TbTm3Si4
_cell_length_a 3.8883
_cell_length_b 6.2348
_cell_length_c 8.5538
_cell_angle_alpha 111.37
_cell_angle_beta 103.14
_cell_angle_gamma 90.00
_space_group_name_H-M_alt 'P 1'
_space_group_IT_number 1
loop_
_space_group_symop_operation_xyz
'x,y,z'
loop_
_atom_site_label
_atom_site_fract_x
_atom_site_fract_y
_atom_site_fract_z
Tb1 0.5000 0.0000 0.0000
Tm1 0.0000 0.5000 0.0000
Tm2 0.1948 0.1946 0.3897
Tm3 0.8052 0.8054 0.6103
Si1 0.3673 0.5533 0.7347
Si2 0.6327 0.4467 0.2653
Si3 0.6325 0.8182 0.2651
Si4 0.3675 0.1818 0.7349

---

# Tb2V3Si4 (PBE-GGA, relaxed)
# VASP energy ... -128.31 eV for the cell shown
# SG ... P2_1/c
data_Tb2V3Si4
_cell_length_a 6.7222
_cell_length_b 6.8423
_cell_length_c 6.8375
_cell_angle_alpha 90.00
_cell_angle_beta 90.00
_cell_angle_gamma 109.18
_space_group_name_H-M_alt 'P 1'
_space_group_IT_number 1
loop_
_space_group_symop_operation_xyz
'x,y,z'
loop_
_atom_site_label
_atom_site_fract_x
_atom_site_fract_y
_atom_site_fract_z
Tb1 0.5609 0.1863 0.3324
Tb2 0.9391 0.8137 0.8324
Tb3 0.4391 0.8137 0.6676
Tb4 0.0609 0.1863 0.1676
V1 0.0000 0.5000 0.5000
V2 0.5000 0.5000 0.0000
V3 0.7487 0.2602 0.8290
V4 0.7513 0.7398 0.3290
V5 0.2513 0.7398 0.1710
V6 0.2487 0.2602 0.6710
Si1 0.8739 0.0925 0.5460
Si2 0.6261 0.9075 0.0460
Si3 0.1261 0.9075 0.4540
Si4 0.3739 0.0925 0.9540
Si5 0.8703 0.5006 0.1290
Si6 0.6297 0.4994 0.6290
Si7 0.1297 0.4994 0.8710
Si8 0.3703 0.5006 0.3710

---

# TbSiW (PBE-GGA, relaxed)
# VASP energy ... -91.95 eV for the cell shown
# SG ... Cc
data_TbSiW
_cell_length_a 6.6544
_cell_length_b 6.6544
_cell_length_c 7.2160
_cell_angle_alpha 65.74
_cell_angle_beta 65.74
_cell_angle_gamma 84.44
_space_group_name_H-M_alt 'P 1'
_space_group_IT_number 1
loop_
_space_group_symop_operation_xyz
'x,y,z'
loop_
_atom_site_label
_atom_site_fract_x
_atom_site_fract_y
_atom_site_fract_z
W1 0.0999 0.8120 0.5165
W2 0.9899 0.7345 0.9379
W3 0.7345 0.9899 0.4379
W4 0.8120 0.0999 0.0165
Si1 0.7252 0.3865 0.1897
Si2 0.0780 0.8935 0.1572
Si3 0.3865 0.7252 0.6897
Si4 0.8935 0.0780 0.6572
Tb1 0.2192 0.2900 0.1579
Tb2 0.2900 0.2192 0.6579
Tb3 0.7786 0.5059 0.5229
Tb4 0.5059 0.7786 0.0229

---

# TbSi2W (PBE-GGA, relaxed)
# VASP energy ... -29.07 eV for the cell shown
# SG ... R-3m
data_TbSi2W
_cell_length_a 3.7909
_cell_length_b 3.7909
_cell_length_c 6.5907
_cell_angle_alpha 73.29
_cell_angle_beta 73.29
_cell_angle_gamma 60.00
_space_group_name_H-M_alt 'P 1'
_space_group_IT_number 1
loop_
_space_group_symop_operation_xyz
'x,y,z'
loop_
_atom_site_label
_atom_site_fract_x
_atom_site_fract_y
_atom_site_fract_z
Si1 0.7349 0.7349 0.7954
Si2 0.2651 0.2651 0.2046
Tb1 0.5000 0.5000 0.5000
W1 0.0000 0.0000 0.0000

---

# Tb2YSi2 (PBE-GGA, relaxed)
# VASP energy ... -29.81 eV for the cell shown
# Polymorph energy (0 for the lowest one) ... 0.348 eV/f.u.
# SG ... Immm
data_Tb2YSi2
_cell_length_a 4.3415
_cell_length_b 5.8271
_cell_length_c 5.8271
_cell_angle_alpha 65.07
_cell_angle_beta 68.13
_cell_angle_gamma 68.13
_space_group_name_H-M_alt 'P 1'
_space_group_IT_number 1
loop_
_space_group_symop_operation_xyz
'x,y,z'
loop_
_atom_site_label
_atom_site_fract_x
_atom_site_fract_y
_atom_site_fract_z
Tb1 0.7998 0.7002 0.7002
Tb2 0.2002 0.2998 0.2998
Y1 0.0000 0.0000 0.0000
Si1 0.5000 0.6966 0.3034
Si2 0.5000 0.3034 0.6966

---

# Tb2Y3Si4 (PBE-GGA, relaxed)
# VASP energy ... -114.47 eV for the cell shown
# SG ... P2_1/c
data_Tb2Y3Si4
_cell_length_a 7.4305
_cell_length_b 7.6609
_cell_length_c 7.7140
_cell_angle_alpha 90.00
_cell_angle_beta 90.00
_cell_angle_gamma 106.39
_space_group_name_H-M_alt 'P 1'
_space_group_IT_number 1
loop_
_space_group_symop_operation_xyz
'x,y,z'
loop_
_atom_site_label
_atom_site_fract_x
_atom_site_fract_y
_atom_site_fract_z
Tb1 0.5882 0.2002 0.3182
Tb2 0.9118 0.7998 0.8182
Tb3 0.4118 0.7998 0.6818
Tb4 0.0882 0.2002 0.1818
Y1 0.0000 0.5000 0.5000
Y2 0.5000 0.5000 0.0000
Y3 0.7535 0.2424 0.8187
Y4 0.7465 0.7576 0.3187
Y5 0.2465 0.7576 0.1813
Y6 0.2535 0.2424 0.6813
Si1 0.8777 0.0807 0.5278
Si2 0.6223 0.9193 0.0278
Si3 0.1223 0.9193 0.4722
Si4 0.3777 0.0807 0.9722
Si5 0.8773 0.4897 0.1201
Si6 0.6227 0.5103 0.6201
Si7 0.1227 0.5103 0.8799
Si8 0.3773 0.4897 0.3799

---

# Tb2YSi (PBE-GGA, relaxed)
# VASP energy ... -21.07 eV for the cell shown
# SG ... R-3m
data_Tb2YSi
_cell_length_a 3.6039
_cell_length_b 3.6039
_cell_length_c 10.9481
_cell_angle_alpha 80.53
_cell_angle_beta 80.53
_cell_angle_gamma 60.00
_space_group_name_H-M_alt 'P 1'
_space_group_IT_number 1
loop_
_space_group_symop_operation_xyz
'x,y,z'
loop_
_atom_site_label
_atom_site_fract_x
_atom_site_fract_y
_atom_site_fract_z
Y1 0.0000 0.0000 0.0000
Si1 0.5000 0.5000 0.5000
Tb1 0.1067 0.1067 0.6800
Tb2 0.8933 0.8933 0.3200

---

# TbY5Si4 (PBE-GGA, relaxed)
# VASP energy ... -64.19 eV for the cell shown
# SG ... C2/m
data_TbY5Si4
_cell_length_a 4.9275
_cell_length_b 6.8256
_cell_length_c 10.4608
_cell_angle_alpha 130.79
_cell_angle_beta 103.62
_cell_angle_gamma 90.00
_space_group_name_H-M_alt 'P 1'
_space_group_IT_number 1
loop_
_space_group_symop_operation_xyz
'x,y,z'
loop_
_atom_site_label
_atom_site_fract_x
_atom_site_fract_y
_atom_site_fract_z
Tb1 0.5000 0.0000 0.0000
Y1 0.8352 0.6756 0.6705
Y2 0.8349 0.1631 0.6699
Y3 0.1651 0.8369 0.3301
Y4 0.5000 0.5000 0.0000
Y5 0.1648 0.3244 0.3295
Si1 0.3218 0.8937 0.6437
Si2 0.9909 0.7306 0.9818
Si3 0.6782 0.1063 0.3563
Si4 0.0091 0.2694 0.0182

---

# Tb2YSi2 (PBE-GGA, relaxed)
# VASP energy ... -60.32 eV for the cell shown
# Polymorph energy (0 for the lowest one) ... 0.000 eV/f.u.
# SG ... P4/mbm
data_Tb2YSi2
_cell_length_a 4.2426
_cell_length_b 7.5053
_cell_length_c 7.5053
_cell_angle_alpha 90.00
_cell_angle_beta 90.00
_cell_angle_gamma 90.00
_space_group_name_H-M_alt 'P 1'
_space_group_IT_number 1
loop_
_space_group_symop_operation_xyz
'x,y,z'
loop_
_atom_site_label
_atom_site_fract_x
_atom_site_fract_y
_atom_site_fract_z
Tb1 0.5000 0.1758 0.6758
Tb2 0.5000 0.6758 0.8242
Tb3 0.5000 0.8242 0.3242
Tb4 0.5000 0.3242 0.1758
Y1 0.0000 0.0000 0.0000
Y2 0.0000 0.5000 0.5000
Si1 0.0000 0.3840 0.8840
Si2 0.0000 0.8840 0.6160
Si3 0.0000 0.6160 0.1160
Si4 0.0000 0.1160 0.3840

---

# Tb2YSi6 (PBE-GGA, relaxed)
# VASP energy ... -53.12 eV for the cell shown
# SG ... P6/mmm
data_Tb2YSi6
_cell_length_a 3.9658
_cell_length_b 7.1005
_cell_length_c 7.1005
_cell_angle_alpha 120.00
_cell_angle_beta 90.00
_cell_angle_gamma 90.00
_space_group_name_H-M_alt 'P 1'
_space_group_IT_number 1
loop_
_space_group_symop_operation_xyz
'x,y,z'
loop_
_atom_site_label
_atom_site_fract_x
_atom_site_fract_y
_atom_site_fract_z
Tb1 0.0000 0.3333 0.6667
Tb2 0.0000 0.6667 0.3333
Y1 0.0000 0.0000 0.0000
Si1 0.5000 0.3332 0.3332
Si2 0.5000 0.6668 0.6668
Si3 0.5000 0.0000 0.6668
Si4 0.5000 0.6668 0.0000
Si5 0.5000 0.3332 0.0000
Si6 0.5000 0.0000 0.3332